{"formula": "Dy12Ag6Pt", "functional": "GGA-PBE", "state": "optimized geometry", "lattice": [[7.937, 0.519, 0.621], [-0.691, 7.924, 0.621], [-0.691, -0.805, 7.907]], "species": ["Dy", "Dy", "Ag", "Dy", "Dy", "Dy", "Dy", "Dy", "Dy", "Pt", "Dy", "Ag", "Dy", "Ag", "Dy", "Ag", "Ag", "Dy", "Ag"], "frac_coords": [[0.334, 0.987, 0.129], [0.987, 0.129, 0.334], [0.729, 0.303, 0.118], [0.129, 0.334, 0.987], [0.199, 0.452, 0.548], [0.452, 0.548, 0.199], [0.801, 0.548, 0.452], [0.452, 0.801, 0.548], [0.548, 0.452, 0.801], [0.000, 0.000, 0.000], [0.548, 0.199, 0.452], [0.118, 0.729, 0.303], [0.013, 0.871, 0.666], [0.697, 0.882, 0.271], [0.871, 0.666, 0.013], [0.303, 0.118, 0.729], [0.271, 0.697, 0.882], [0.666, 0.013, 0.871], [0.882, 0.271, 0.697]], "formation_energy_ev_per_atom": -0.189, "crystal_system": "trigonal"}



{"formula": "DyAgPtRh", "functional": "GGA-PBE", "state": "optimized geometry", "lattice": [[-3.955, 1.977, -1.571], [-2.190, -1.789, -3.745], [-4.101, -2.222, 0.520]], "species": ["Pt", "Ag", "Rh", "Dy"], "frac_coords": [[0.750, 0.750, 0.750], [0.500, 0.500, 0.500], [0.250, 0.250, 0.250], [0.000, 0.000, 0.000]], "formation_energy_ev_per_atom": -0.542, "crystal_system": "cubic"}



{"formula": "DyScAgPt", "functional": "GGA-PBE", "state": "optimized geometry", "lattice": [[-0.995, -2.905, 3.806], [0.995, -4.782, -0.248], [3.648, -1.880, 2.661]], "species": ["Sc", "Ag", "Pt", "Dy"], "frac_coords": [[0.500, 0.500, 0.500], [0.250, 0.250, 0.250], [0.750, 0.750, 0.750], [0.000, 0.000, 0.000]], "formation_energy_ev_per_atom": -0.759, "crystal_system": "cubic"}



{"formula": "Dy2Si3AgPt4", "functional": "GGA-PBE", "state": "optimized geometry", "lattice": [[4.059, 0.000, 0.000], [0.000, 4.059, 0.000], [0.000, 0.000, 10.976]], "species": ["Dy", "Pt", "Si", "Dy", "Si", "Si", "Pt", "Pt", "Ag", "Pt"], "frac_coords": [[0.000, 0.500, 0.753], [0.500, 0.000, 0.662], [0.000, 0.000, 0.500], [0.500, 0.000, 0.247], [0.500, 0.000, 0.873], [0.000, 0.500, 0.127], [0.500, 0.500, 0.000], [0.000, 0.500, 0.338], [0.500, 0.500, 0.500], [0.000, 0.000, 0.000]], "crystal_system": "tetragonal", "dft_energy_ev_per_cell": -61.63}



{"formula": "SmDyAgPt", "functional": "GGA-PBE", "state": "optimized geometry", "lattice": [[5.077, 0.000, 0.000], [2.538, 4.396, 0.000], [2.538, 1.465, 4.145]], "species": ["Pt", "Ag", "Sm", "Dy"], "frac_coords": [[0.750, 0.750, 0.750], [0.250, 0.250, 0.250], [0.000, 0.000, 0.000], [0.500, 0.500, 0.500]], "formation_energy_ev_per_atom": -0.743, "crystal_system": "cubic"}



{"formula": "DyAgSnPt", "functional": "GGA-PBE", "state": "optimized geometry", "lattice": [[4.868, 0.000, 0.000], [2.434, 4.216, 0.000], [2.434, 1.405, 3.975]], "species": ["Ag", "Pt", "Dy", "Sn"], "frac_coords": [[0.250, 0.250, 0.250], [0.750, 0.750, 0.750], [0.000, 0.000, 0.000], [0.500, 0.500, 0.500]], "formation_energy_ev_per_atom": -0.677, "crystal_system": "cubic"}



{"formula": "SrDyAgPt", "functional": "GGA-PBE", "state": "optimized geometry", "lattice": [[5.162, 0.000, 0.000], [2.581, 4.471, 0.000], [2.581, 1.490, 4.215]], "species": ["Ag", "Dy", "Pt", "Sr"], "frac_coords": [[0.500, 0.500, 0.500], [0.250, 0.250, 0.250], [0.000, 0.000, 0.000], [0.750, 0.750, 0.750]], "formation_energy_ev_per_atom": -0.569, "crystal_system": "cubic"}



{"formula": "TbDyAgPt", "functional": "GGA-PBE", "state": "optimized geometry", "lattice": [[5.033, 0.000, 0.000], [2.516, 4.359, 0.000], [2.516, 1.453, 4.109]], "species": ["Ag", "Pt", "Dy", "Tb"], "frac_coords": [[0.250, 0.250, 0.250], [0.750, 0.750, 0.750], [0.500, 0.500, 0.500], [0.000, 0.000, 0.000]], "formation_energy_ev_per_atom": -0.780, "crystal_system": "cubic"}



{"formula": "DyThAgPt", "functional": "GGA-PBE", "state": "optimized geometry", "lattice": [[-4.370, -0.719, 2.581], [-3.388, -3.489, -1.619], [-0.716, -4.312, 2.678]], "species": ["Th", "Ag", "Pt", "Dy"], "frac_coords": [[0.500, 0.500, 0.500], [0.250, 0.250, 0.250], [0.750, 0.750, 0.750], [0.000, 0.000, 0.000]], "formation_energy_ev_per_atom": -0.629, "crystal_system": "cubic"}



{"formula": "DyTlAgPt", "functional": "GGA-PBE", "state": "optimized geometry", "lattice": [[-3.800, 2.904, 1.138], [-3.922, 0.188, -2.958], [-4.262, -1.980, 1.440]], "species": ["Tl", "Pt", "Ag", "Dy"], "frac_coords": [[0.500, 0.500, 0.500], [0.750, 0.750, 0.750], [0.250, 0.250, 0.250], [0.000, 0.000, 0.000]], "formation_energy_ev_per_atom": -0.487, "crystal_system": "cubic"}



{"formula": "DyYAgPt", "functional": "GGA-PBE", "state": "optimized geometry", "lattice": [[5.028, 0.000, 0.000], [2.514, 4.354, 0.000], [2.514, 1.451, 4.105]], "species": ["Y", "Dy", "Pt", "Ag"], "frac_coords": [[0.500, 0.500, 0.500], [0.000, 0.000, 0.000], [0.750, 0.750, 0.750], [0.250, 0.250, 0.250]], "formation_energy_ev_per_atom": -0.784, "crystal_system": "cubic"}



{"formula": "DyZrAgPt", "functional": "GGA-PBE", "state": "optimized geometry", "lattice": [[4.907, 0.000, 0.000], [2.453, 4.249, 0.000], [2.453, 1.416, 4.006]], "species": ["Dy", "Zr", "Ag", "Pt"], "frac_coords": [[0.000, 0.000, 0.000], [0.500, 0.500, 0.500], [0.250, 0.250, 0.250], [0.750, 0.750, 0.750]], "formation_energy_ev_per_atom": -0.570, "crystal_system": "cubic"}



{"formula": "Dy5PuAg4", "functional": "GGA-PBE", "state": "optimized geometry", "lattice": [[3.578, 0.000, 0.000], [0.000, 3.578, 0.000], [0.000, 0.000, 19.599]], "species": ["Ag", "Ag", "Dy", "Dy", "Dy", "Dy", "Ag", "Ag", "Pu", "Dy"], "frac_coords": [[0.000, 0.000, 0.405], [0.000, 0.000, 0.785], [0.500, 0.500, 0.500], [0.500, 0.500, 0.121], [0.500, 0.500, 0.310], [0.500, 0.500, 0.879], [0.000, 0.000, 0.215], [0.000, 0.000, 0.595], [0.000, 0.000, 0.000], [0.500, 0.500, 0.690]], "formation_energy_ev_per_atom": -0.218, "crystal_system": "tetragonal"}



{"formula": "DyPuAg2", "functional": "GGA-PBE", "state": "optimized geometry", "lattice": [[3.561, 0.000, 0.000], [0.000, 3.561, 0.000], [0.000, 0.000, 7.670]], "species": ["Pu", "Ag", "Dy", "Ag"], "frac_coords": [[0.500, 0.500, 0.500], [0.000, 0.000, 0.233], [0.500, 0.500, 0.000], [0.000, 0.000, 0.767]], "formation_energy_ev_per_atom": -0.098, "crystal_system": "tetragonal"}



{"formula": "DyPuAg2", "functional": "GGA-PBE", "state": "optimized geometry", "lattice": [[-0.356, -4.555, 2.441], [-1.250, -4.270, -2.654], [3.562, -3.669, -0.830]], "species": ["Dy", "Pu", "Ag", "Ag"], "frac_coords": [[0.500, 0.500, 0.500], [0.000, 0.000, 0.000], [0.250, 0.250, 0.250], [0.750, 0.750, 0.750]], "formation_energy_ev_per_atom": -0.058, "crystal_system": "cubic"}



{"formula": "Dy4PuAg5", "functional": "GGA-PBE", "state": "optimized geometry", "lattice": [[3.598, 0.000, 0.000], [0.000, 3.598, 0.000], [0.000, 0.000, 18.664]], "species": ["Dy", "Dy", "Ag", "Ag", "Dy", "Pu", "Ag", "Dy", "Ag", "Ag"], "frac_coords": [[0.000, 0.000, 0.599], [0.000, 0.000, 0.401], [0.500, 0.500, 0.108], [0.500, 0.500, 0.698], [0.000, 0.000, 0.202], [0.000, 0.000, 0.000], [0.500, 0.500, 0.892], [0.000, 0.000, 0.798], [0.500, 0.500, 0.500], [0.500, 0.500, 0.302]], "formation_energy_ev_per_atom": -0.235, "crystal_system": "tetragonal"}



{"formula": "DyPuAg2", "functional": "GGA-PBE", "state": "optimized geometry", "lattice": [[3.338, 0.000, 0.000], [1.669, 2.891, 0.000], [1.669, 0.964, 10.091]], "species": ["Dy", "Ag", "Ag", "Pu"], "frac_coords": [[0.000, 0.000, 0.000], [0.748, 0.748, 0.757], [0.252, 0.252, 0.243], [0.500, 0.500, 0.500]], "formation_energy_ev_per_atom": 0.108, "crystal_system": "trigonal"}



{"formula": "DyPuAgRh", "functional": "GGA-PBE", "state": "optimized geometry", "lattice": [[-1.310, -4.126, -2.508], [2.606, -1.411, -4.030], [2.899, -4.072, 0.195]], "species": ["Pu", "Dy", "Rh", "Ag"], "frac_coords": [[0.250, 0.250, 0.250], [0.750, 0.750, 0.750], [0.500, 0.500, 0.500], [0.000, 0.000, 0.000]], "formation_energy_ev_per_atom": -0.314, "crystal_system": "cubic"}



{"formula": "DyPuAgRu", "functional": "GGA-PBE", "state": "optimized geometry", "lattice": [[-3.904, 1.764, -2.512], [-4.610, -1.051, 1.518], [-2.831, 3.561, 1.992]], "species": ["Ru", "Ag", "Pu", "Dy"], "frac_coords": [[0.750, 0.750, 0.750], [0.250, 0.250, 0.250], [0.500, 0.500, 0.500], [0.000, 0.000, 0.000]], "formation_energy_ev_per_atom": -0.110, "crystal_system": "cubic"}



{"formula": "Dy3PuAg4S8", "functional": "GGA-PBE", "state": "optimized geometry", "lattice": [[8.094, 0.000, 0.000], [0.000, 7.687, -0.304], [-4.047, -4.051, 5.715]], "species": ["Ag", "S", "Ag", "Dy", "S", "S", "Pu", "Dy", "S", "S", "Dy", "S", "Ag", "S", "S", "Ag"], "frac_coords": [[0.500, 0.000, 0.500], [0.751, 0.258, 0.502], [0.000, 0.000, 0.500], [0.500, 0.500, 0.500], [0.751, 0.258, 0.006], [0.252, 0.258, 0.504], [0.000, 0.500, 0.000], [0.500, 0.500, 0.000], [0.745, 0.742, 0.994], [0.249, 0.742, 0.994], [0.000, 0.500, 0.500], [0.255, 0.258, 0.006], [0.500, 0.000, 0.000], [0.748, 0.742, 0.496], [0.249, 0.742, 0.498], [0.000, 0.000, 0.000]], "crystal_system": "monoclinic", "dft_energy_ev_per_cell": -91.84}